A plane-wave DFT calculation with PBE was carried out for an optimized crystal structure of Tb2PmY12.

Output
space group	C2/m
size of the total moment	0.00	μB/f.u.
total energy	-5.9895	eV per atom

Unit cell a=6.665 b=6.665 c=24.518 alpha=92.25 beta=92.25 gamma=115.07
Positions (direct):
Tb: 0.062 0.062 0.272
Tb: 0.424 0.424 0.728
Tb: 0.576 0.576 0.272
Tb: 0.938 0.938 0.728
Pm: 0.251 0.251 0.002
Pm: 0.749 0.749 0.998
Y: 0.047 0.555 0.202
Y: 0.090 0.576 0.330
Y: 0.141 0.141 0.581
Y: 0.145 0.632 0.555
Y: 0.215 0.215 0.864
Y: 0.231 0.731 0.925
Y: 0.269 0.769 0.075
Y: 0.286 0.286 0.140
Y: 0.349 0.349 0.431
Y: 0.368 0.855 0.445
Y: 0.424 0.910 0.670
Y: 0.445 0.953 0.798
Y: 0.555 0.047 0.202
Y: 0.576 0.090 0.330
Y: 0.632 0.145 0.555
Y: 0.651 0.651 0.569
Y: 0.714 0.714 0.860
Y: 0.731 0.231 0.925
Y: 0.769 0.269 0.075
Y: 0.785 0.785 0.136
Y: 0.855 0.368 0.445
Y: 0.859 0.859 0.419
Y: 0.910 0.424 0.670
Y: 0.953 0.445 0.798